Record 1
## Ce3AsN3 (PBE)

Data for crystalline Ce3AsN3 at its relaxed geometry.

```
Ce3AsN3
1.0
6.812 0.000 0.000
3.406 5.900 0.000
3.406 1.967 7.049
Ce As N
6 2 6
Direct
0.247 0.550 0.300 Ce
0.903 0.247 0.300 Ce
0.550 0.903 0.300 Ce
0.450 0.097 0.700 Ce
0.097 0.753 0.700 Ce
0.753 0.450 0.700 Ce
0.333 0.333 0.000 As
0.667 0.667 0.000 As
0.439 0.801 0.627 N
0.801 0.132 0.627 N
0.132 0.439 0.627 N
0.868 0.561 0.373 N
0.199 0.868 0.373 N
0.561 0.199 0.373 N
```

Summary:
Relative energy among the computed polymorphs: 42 meV/atom
Density of states at the Fermi level: 0.011 states/eV/atom

***

Record 2
## ZrPa3Sb4 (PBE)

Data for crystalline ZrPa3Sb4 at its relaxed geometry.

```
ZrPa3Sb4
1.0
-2.066 -7.126 0.989
1.769 3.046 6.501
-8.256 2.540 1.056
Sb Pa Zr
8 6 2
Direct
0.994 0.244 0.630 Sb
0.500 0.240 0.882 Sb
0.494 0.244 0.370 Sb
0.000 0.240 0.118 Sb
0.000 0.760 0.882 Sb
0.506 0.756 0.630 Sb
0.500 0.760 0.118 Sb
0.006 0.756 0.370 Sb
0.750 0.000 0.374 Pa
0.250 0.000 0.626 Pa
0.750 0.500 0.625 Pa
0.750 0.500 0.126 Pa
0.250 0.500 0.375 Pa
0.250 0.500 0.874 Pa
0.750 0.000 0.873 Zr
0.250 0.000 0.127 Zr
```

Summary:
Density of states at the Fermi level: 1.712 states/eV/atom

***

Record 3
## NaFeP2Rh (PBE)

Data for crystalline NaFeP2Rh at its relaxed geometry.

```
NaFeP2Rh
1.0
-0.203 1.319 3.673
-3.797 -0.920 0.120
3.134 -4.661 -0.232
Na Fe P Rh
1 1 2 1
Direct
0.000 0.000 0.000 Na
0.750 0.250 0.500 Fe
0.628 0.628 0.257 P
0.372 0.372 0.743 P
0.250 0.750 0.500 Rh
```

Summary:
Density of states at the Fermi level: 0.397 states/eV/atom

***

Record 4
## GaOsPtF2 (PBE)

Data for crystalline GaOsPtF2 at its relaxed geometry.

```
GaOsPtF2
1.0
-0.400 3.466 1.654
-1.637 -2.450 4.739
3.670 -0.146 1.192
Os Ga Pt F
1 1 1 2
Direct
0.000 0.000 0.000 Os
0.000 0.500 0.000 Ga
0.500 0.500 0.500 Pt
0.000 0.000 0.500 F
0.500 0.000 0.000 F
```

Summary:
Density of states at the Fermi level: 0.683 states/eV/atom

***

Number 1: E -8.15 eV per atom. Number 2: E -7.16 eV per atom. Number 3: E -6.17 eV per atom. Number 4: E -4.96 eV per atom.